Entry from Alexandria via LeMat-Bulk: a relaxed PuCoBi2O8 crystal (PBE+U).

The structure in POSCAR format:
```
PuCoBi2O8
1.0
5.0394 -0.1063 -0.0020
-0.0854 5.0354 -0.0065
0.0051 0.0068 6.9117
O Bi Pu Co
8 2 1 1
Direct
0.1803 0.8185 0.2225
0.7049 0.7062 0.0000
0.7184 0.7194 0.5000
0.1804 0.8184 0.7778
0.2816 0.2806 0.5000
0.8196 0.1816 0.2222
0.2951 0.2938 0.0000
0.8197 0.1815 0.7775
0.4998 0.5002 0.2610
0.5002 0.4998 0.7390
0.0000 0.0000 0.0000
0.0000 0.0000 0.5000
```

Fermi-level density of states   2.5 states/eV/f.u.
Crystal system   orthorhombic
Space group   Cmmm
DFT total energy   -7.067 eV/atom